First-principles (SCAN) data for TaCuSi at its PBEsol-relaxed geometry, as listed in the Alexandria database.

Calculated values
* energy relative to the elements, uncorrected: -55 meV per atom
* DOS at the Fermi energy: 0.3662 states/eV/atom
* total magnetic moment: 0.0 μB per formula unit

Geometry as CIF:
```
data_TaCuSi
_chemical_formula_sum 'Ta1 Cu1 Si1'
_cell_length_a 2.9578
_cell_length_b 2.9578
_cell_length_c 5.2337
_cell_angle_alpha 103.51
_cell_angle_beta 103.51
_cell_angle_gamma 99.98
_space_group_name_H-M_alt 'P 1'
_space_group_IT_number 1
_space_group_name_Hall 'P 1'
loop_
_atom_site_label
_atom_site_fract_x
_atom_site_fract_y
_atom_site_fract_z
_atom_site_occupancy
Ta1 0.6680 0.6680 0.3360 1
Si1 0.3498 0.3498 0.6995 1
Cu1 0.9822 0.9822 0.9644 1
```